[1]
Material: La6Tb3Tm
Method: DFT, GGA-PBE
State: relaxed

Properties
Crystal system: orthorhombic
Calculated volume, A^3/atom: 34.810
Calculated total energy, eV per atom: -4.668
N(E_F), states/eV/atom: 1.43
Energy above the lowest structure with this stoichiometry, eV/atom: 0.000

The structure in extended XYZ format:
```
20
Lattice="6.584 0.000 0.000 0.000 11.014 -1.860 0.000 -4.271 10.321" Properties=species:S:1:pos:R:3 pbc="T T T"
La 2.426 10.531 -1.475
La 0.341 2.816 2.265
La 5.673 8.041 3.530
La 1.090 6.659 1.611
La 2.381 1.646 8.626
La 4.383 0.084 6.851
La 3.633 1.579 3.251
La 2.381 -1.298 4.932
La 5.718 -3.788 9.937
La 0.341 5.164 5.211
La 3.633 3.927 6.197
La 5.673 5.097 -0.164
Tb 3.084 7.396 5.575
Tb 3.846 5.120 2.838
Tb 3.084 2.960 0.008
Tb 6.376 3.784 8.454
Tb 6.376 -0.653 2.887
Tb 0.554 1.624 5.624
Tm 3.974 8.111 0.453
Tm 0.682 -1.368 8.008
```


[2]
Material: Cs2DyGaTe4
Method: DFT, GGA-PBE
State: relaxed

Properties
Crystal system: orthorhombic
Calculated volume, A^3/atom: 47.611
Calculated total energy, eV per atom: -3.719
N(E_F), states/eV/atom: 0.00
Raw formation energy, meV/atom: -981.2

The structure in extended XYZ format:
```
16
Lattice="-2.451 -1.030 -6.197 -8.088 -3.157 0.054 -6.360 12.637 -3.254" Properties=species:S:1:pos:R:3 pbc="T T T"
Te -11.687 4.592 -7.353
Te -9.198 2.280 -3.874
Te -3.713 0.167 -3.857
Te -7.859 10.376 -4.326
Te -7.563 6.228 -5.177
Te -5.349 3.800 -2.391
Te -7.952 -1.469 -2.320
Te -14.273 7.825 -8.292
Cs -10.925 8.739 -6.304
Cs -4.313 3.741 -6.254
Cs -7.199 -0.804 -6.191
Cs -4.497 7.865 -3.198
Ga -7.837 4.482 -3.149
Ga -1.225 -0.515 -3.099
Dy -9.062 3.967 -6.248
Dy 0.000 0.000 0.000
```


[3]
Material: SmTiTl2O6
Method: DFT, GGA-PBE
State: relaxed

Properties
Crystal system: trigonal
Calculated volume, A^3/atom: 14.398
Calculated total energy, eV per atom: -6.679
N(E_F), states/eV/atom: 0.28
Raw formation energy, meV/atom: -1969.5

The structure in extended XYZ format:
```
10
Lattice="-2.070 -4.801 2.339 -0.457 -4.757 -3.157 3.846 -4.542 1.092" Properties=species:S:1:pos:R:3 pbc="T T T"
O 0.578 -1.981 0.661
O 1.842 -8.798 -0.307
O 1.558 -7.386 2.067
O 0.670 -3.871 -1.532
O 2.580 -6.124 -0.185
O -0.325 -4.704 1.058
Ti -0.553 -3.270 -0.189
Sm 0.168 -10.337 -0.034
Tl 3.418 -4.418 0.967
Tl 0.097 -6.887 -0.027
```


[4]
Material: IrWIN2
Method: DFT, GGA-PBE
State: relaxed

Properties
Crystal system: tetragonal
Calculated volume, A^3/atom: 22.621
Calculated total energy, eV per atom: -6.249
N(E_F), states/eV/atom: 0.69
Raw formation energy, meV/atom: 1753.6
Energy above the lowest structure with this stoichiometry, eV/atom: 0.653

The structure in extended XYZ format:
```
5
Lattice="3.816 0.000 0.000 0.000 3.816 0.000 0.000 0.000 7.767" Properties=species:S:1:pos:R:3 pbc="T T T"
I 0.000 0.000 3.884
W 1.908 1.908 3.884
N 1.908 0.000 0.000
N 0.000 1.908 0.000
Ir 0.000 0.000 0.000
```


[5]
Material: MnBTeAu
Method: DFT, GGA-PBE
State: relaxed

Properties
Crystal system: orthorhombic
Calculated volume, A^3/atom: 16.737
Calculated total energy, eV per atom: -5.244
N(E_F), states/eV/atom: 0.57
Raw formation energy, meV/atom: 322.9
Energy above the lowest structure with this stoichiometry, eV/atom: 0.116

The structure in extended XYZ format:
```
8
Lattice="-0.198 -3.275 -0.755 2.959 0.053 -1.008 4.037 -2.942 11.696" Properties=species:S:1:pos:R:3 pbc="T T T"
Au 3.271 -4.093 9.385
Au 2.732 -2.596 3.033
Mn 4.036 -2.940 11.690
Mn 3.496 -1.443 5.338
Te 1.828 -1.937 0.414
Te 2.367 -3.434 6.765
B 5.066 -2.586 9.885
B 1.568 -1.142 4.542
```


[6]
Material: K2NaCr
Method: DFT, GGA-PBE
State: relaxed

Properties
Crystal system: cubic
Calculated volume, A^3/atom: 43.518
Calculated total energy, eV per atom: -2.649
N(E_F), states/eV/atom: 0.61
Energy above the lowest structure with this stoichiometry, eV/atom: 0.000

The structure in extended XYZ format:
```
4
Lattice="2.325 -2.700 5.156 1.342 3.489 5.031 -3.527 -0.455 5.161" Properties=species:S:1:pos:R:3 pbc="T T T"
K 0.035 0.083 3.837
K 0.105 0.250 11.511
Cr 0.070 0.167 7.674
Na 0.000 0.000 0.000
```


[7]
Material: NbRhAu
Method: DFT, GGA-PBE
State: relaxed

Properties
Crystal system: monoclinic
Calculated volume, A^3/atom: 17.421
Calculated total energy, eV per atom: -7.035
N(E_F), states/eV/atom: 0.58
Energy above the lowest structure with this stoichiometry, eV/atom: 0.167

The structure in extended XYZ format:
```
6
Lattice="2.853 0.000 0.000 1.427 7.034 1.143 1.427 4.083 5.871" Properties=species:S:1:pos:R:3 pbc="T T T"
Rh 1.427 2.731 2.040
Rh 4.280 8.386 4.974
Au 2.853 6.907 2.887
Au 2.853 4.210 4.127
Nb 4.280 6.094 5.738
Nb 1.427 5.023 1.275
```


[8]
Material: HgMoI2
Method: DFT, GGA-PBE
State: relaxed

Properties
Crystal system: tetragonal
Calculated volume, A^3/atom: 41.681
Calculated total energy, eV per atom: -3.062
N(E_F), states/eV/atom: 0.62
Raw formation energy, meV/atom: 495.8
Energy above the lowest structure with this stoichiometry, eV/atom: 0.000

The structure in extended XYZ format:
```
8
Lattice="-2.357 -7.372 2.547 5.294 0.442 6.178 -2.062 -1.343 7.236" Properties=species:S:1:pos:R:3 pbc="T T T"
Hg -1.475 -6.090 7.073
Hg 0.000 0.000 0.000
I -1.058 -4.049 3.883
I 2.231 -1.820 6.278
I 0.421 -7.122 12.358
I 0.158 -3.556 9.402
Mo 2.351 -2.183 8.888
Mo 1.469 -3.465 4.362
```


[9]
Material: Sn2HgBiAu4
Method: DFT, GGA-PBE
State: relaxed

Properties
Crystal system: orthorhombic
Calculated volume, A^3/atom: 23.207
Calculated total energy, eV per atom: -3.216
N(E_F), states/eV/atom: 0.43

The structure in extended XYZ format:
```
8
Lattice="5.807 0.744 0.000 0.109 5.854 0.000 -2.958 -3.299 5.475" Properties=species:S:1:pos:R:3 pbc="T T T"
Au 2.449 0.625 0.000
Au 0.355 2.503 0.000
Au -0.670 -0.747 2.988
Au 2.288 2.552 2.487
Hg 3.242 3.616 0.000
Sn 2.244 -0.363 2.737
Sn -0.605 2.191 2.737
Bi 5.471 6.101 0.000
```


[10]
Material: BaCrRh2
Method: DFT, GGA-PBE
State: relaxed

Properties
Crystal system: monoclinic
Calculated volume, A^3/atom: 23.225
Calculated total energy, eV per atom: -6.404
N(E_F), states/eV/atom: 1.58
Energy above the lowest structure with this stoichiometry, eV/atom: 0.073

The structure in extended XYZ format:
```
4
Lattice="-2.087 0.777 -3.617 -3.117 -2.599 -1.253 -5.688 2.684 1.356" Properties=species:S:1:pos:R:3 pbc="T T T"
Ba -5.412 0.403 -1.783
Cr -1.913 -0.460 -1.491
Rh -5.503 -1.573 -4.645
Rh -8.715 1.101 -2.224
```


[11]
Material: Pm7Pr2
Method: DFT, GGA-PBE
State: relaxed

Properties
Crystal system: trigonal
Calculated volume, A^3/atom: 34.768
Calculated total energy, eV per atom: -4.744
N(E_F), states/eV/atom: 1.40

The structure in extended XYZ format:
```
9
Lattice="-0.890 -6.289 -0.156 4.633 2.465 3.583 -5.670 0.632 6.896" Properties=species:S:1:pos:R:3 pbc="T T T"
Pm -4.069 -1.672 4.537
Pm -0.652 -1.061 3.448
Pm 1.194 1.856 4.698
Pm -1.276 -2.131 6.875
Pm -2.491 -3.985 2.204
Pm 0.000 0.000 0.000
Pm -2.231 1.241 5.781
Pr 2.792 -0.453 2.337
Pr 0.951 -3.371 1.090
```


[12]
Material: AsPb3Br3
Method: DFT, GGA-PBE
State: relaxed

Properties
Crystal system: monoclinic
Calculated volume, A^3/atom: 35.641
Calculated total energy, eV per atom: -3.589
Raw formation energy, meV/atom: -618.4

The structure in extended XYZ format:
```
14
Lattice="-4.375 -0.687 -0.140 -0.117 -1.073 8.918 -1.966 12.407 0.511" Properties=species:S:1:pos:R:3 pbc="T T T"
Pb -4.057 4.213 0.917
Pb -5.006 10.108 1.636
Pb -2.378 7.279 3.504
Pb -2.401 6.434 8.372
Pb -4.080 3.368 5.785
Pb -1.452 0.539 7.653
Br -2.908 9.637 8.485
Br -4.566 6.437 5.894
Br -1.892 4.210 3.394
Br -3.597 0.358 5.467
Br -2.861 10.289 3.822
Br -3.550 1.009 0.804
As -4.535 7.155 1.424
As -1.923 3.492 7.865
```